No. 1
Entry from Alexandria via LeMat-Bulk: an optimized crystal structure of TbGaIr (PBE).

Cell: 3.231 3.231 5.918 Å, 105.84 105.84 90.00°
Fractional coordinates of all 3 atoms:
Ga (0.311, 0.311, 0.622)
Ir (0.931, 0.931, 0.863)
Tb (0.608, 0.608, 0.215)

Results
- ΔE_f: -0.584 eV/atom
- Crystal system: tetragonal



No. 2
Entry from Alexandria via LeMat-Bulk: an optimized crystal structure of Ag2PSe5 (PBE).

Cell: 7.178 7.284 8.862 Å, 114.45 142.01 90.42°
Fractional coordinates of all 8 atoms:
Se (0.402, 0.301, 0.357)
Se (0.235, 0.852, 0.818)
Ag (0.552, 0.383, 0.189)
Se (0.740, 0.811, 0.106)
P (0.082, 0.875, 0.986)
Se (0.443, 0.836, 0.361)
Se (0.434, 0.382, 0.829)
Ag (0.888, 0.339, 0.909)

Results
- Raw formation energy: 0.00 eV per atom
- Crystal system: triclinic



Total moment (computed, μB per atom): 0.00 0.00
DFT total energy (computed, eV/f.u.): -18.27 -28.53